Entry 1:
VASP calculation (SCAN) on HfSc2AsF at its PBEsol-relaxed geometry.

Cell: 5.0182 5.0182 4.9526 Å, 90.00 90.00 90.00°
Closest atoms and distances in Å follow each position.
Space group P4/mmm (No. 123)
Inequivalent atoms, fractional coordinates:
Hf 0.0000 0.0000 0.0000 x1  2 As 2.48
Sc 0.0000 0.5000 0.5000 x2  2 As 2.51
As 0.0000 0.0000 0.5000 x1  2 Hf 2.48, 4 Sc 2.51
F 0.5000 0.5000 0.0000 x1  8 Sc 3.53, 4 Hf 3.55

---

Entry 2:
VASP calculation (SCAN) on Hf2ZrAsF at its PBEsol-relaxed geometry.

Cell: 5.1412 5.1412 4.0343 Å, 90.00 90.00 90.00°
Closest atoms and distances in Å follow each position.
Space group P4/mmm (No. 123)
Inequivalent atoms, fractional coordinates:
Hf 0.0000 0.5000 0.0000 x2  2 Zr 2.57
Zr 0.0000 0.0000 0.0000 x1  2 F 2.02
As 0.5000 0.5000 0.5000 x1  8 Hf 3.27, 4 F 3.64
F 0.0000 0.0000 0.5000 x1  2 Zr 2.02

---

Entry 3:
VASP calculation (SCAN) on HgAs2F at its PBEsol-relaxed geometry.

Cell: 3.8574 3.8574 19.4287 Å, 90.00 90.00 90.00°
Closest atoms and distances in Å follow each position.
Space group I-42d (No. 122)
Inequivalent atoms, fractional coordinates:
Hg 0.0000 0.0000 0.0000 x4  4 F 2.73, 4 As 2.84
As 0.2134 0.2500 0.6250 x8  2 As 2.54, 2 F 2.74, 2 Hg 2.84
F 0.0000 0.0000 0.5000 x4  4 Hg 2.73, 4 As 2.74

---

Entry 4:
VASP calculation (SCAN) on Hg3As2F12 at its PBEsol-relaxed geometry.

Cell: 5.7673 8.4909 11.4685 Å, 90.00 93.07 90.00°
Closest atoms and distances in Å follow each position.
Space group P2_1/c (No. 14)
Inequivalent atoms, fractional coordinates:
Hg 0.0000 0.0000 0.0000 x2  2 Hg 2.59, 2 F 2.90
Hg 0.2422 0.2428 0.0692 x4  1 F 2.36, 1 Hg 2.59
As 0.3036 0.6493 0.1696 x4  6 F 1.75-1.80
F 0.0390 0.5577 0.1287 x4  1 As 1.75
F 0.1612 0.6798 0.7116 x4  1 As 1.75
F 0.2981 0.5722 0.3116 x4  1 As 1.76
F 0.3206 0.7261 0.0267 x4  1 As 1.77
F 0.4203 0.2298 0.2953 x4  1 As 1.76
F 0.4475 0.0261 0.6230 x4  1 As 1.80

---

Number 1: total magnetization 4.3 μB/f.u., raw formation energy -0.0936 eV per atom. Number 2: total magnetization 0.0 μB/f.u., raw formation energy 0.0729 eV per atom. Number 3: total magnetization 0.0 μB/f.u., raw formation energy -0.2874 eV per atom. Number 4: total magnetization 0.0 μB/f.u., raw formation energy -1.9124 eV per atom.